The following is a DFT calculation (PBE) of an optimized crystal structure of LaS2Br2.

Cell lengths 3.560, 3.560, 22.100 Å; angles 90.00, 90.00, 90.00 degrees
Space group I4/mmm (No. 139)
One atom of each set of equivalent atoms:
La: 0.000 0.000 0.000
S: 0.000 0.500 0.250
Br: 0.000 0.000 0.419

Properties
* formation energy (no corrections): -0.839 eV per atom
* total DFT energy (no corrections): -4.14 eV/atom